Compound: Sm2Tm2Ga3
Source: Alexandria
Functional: GGA-PBE
Structure: optimized geometry

The structure in CIF format:
```
data_Sm2Tm2Ga3
_cell_length_a 3.673
_cell_length_b 5.957
_cell_length_c 8.136
_cell_angle_alpha 87.44
_cell_angle_beta 89.96
_cell_angle_gamma 72.27
_space_group_name_H-M_alt 'P -1'
_space_group_IT_number 2
loop_
_space_group_symop_operation_xyz
'x,y,z'
'-x,-y,-z'
loop_
_atom_site_label
_atom_site_fract_x
_atom_site_fract_y
_atom_site_fract_z
Sm1 0.205 0.092 0.166
Tm1 0.062 0.381 0.697
Ga1 0.333 0.832 0.540
Ga2 0.500 0.500 0.000
```

The value obtained for the calculated formation energy is -0.417 eV per atom. The volume comes out at 169 Å³/cell.